A plane-wave DFT calculation with PBE-GGA was carried out for crystalline TbHoTm5 at its relaxed geometry.

abc: 5.718 7.828 7.828
angles: 65.90 68.58 68.58
Atoms (fractional coordinates):
Tb 0.000 0.000 0.000
Ho 0.500 0.500 0.500
Tm 0.500 0.178 0.822
Tm 0.500 0.822 0.178
Tm 0.744 0.256 0.256
Tm 0.256 0.744 0.744
Tm 0.000 0.500 0.500

The total magnetization is 0.0 μB per cell. For the energy of formation, the calculation gives 1159 meV/atom. For the relative energy among the computed polymorphs, the calculation gives 0.955 eV/atom.

A plane-wave DFT calculation with PBE-GGA was carried out for crystalline TbHo3Tm3 at its relaxed geometry.

abc: 5.574 9.470 9.469
angles: 120.01 90.00 90.00
Atoms (fractional coordinates):
Tb 0.750 0.333 0.667
Tb 0.250 0.667 0.333
Ho 0.750 0.761 0.809
Ho 0.750 0.048 0.239
Ho 0.750 0.191 0.952
Ho 0.250 0.239 0.191
Ho 0.250 0.952 0.761
Ho 0.250 0.809 0.048
Tm 0.250 0.523 0.619
Tm 0.250 0.095 0.476
Tm 0.250 0.381 0.905
Tm 0.750 0.477 0.381
Tm 0.750 0.905 0.524
Tm 0.750 0.619 0.095

The total magnetization is 0.0 μB per cell. For the energy of formation, the calculation gives 4 meV/atom. For the relative energy among the computed polymorphs, the calculation gives 0.000 eV/atom.

A plane-wave DFT calculation with PBE-GGA was carried out for crystalline Tb5HoTm6 at its relaxed geometry.

abc: 9.984 9.984 5.702
angles: 106.59 106.58 124.20
Atoms (fractional coordinates):
Tm 0.430 0.070 0.250
Tm 0.930 0.570 0.750
Tm 0.251 0.251 0.750
Tm 0.749 0.749 0.250
Tm 0.070 0.430 0.250
Tm 0.570 0.930 0.750
Tb 0.848 0.152 0.500
Tb 0.653 0.347 0.000
Tb 0.500 0.500 0.500
Tb 0.347 0.653 0.000
Tb 0.152 0.848 0.500
Ho 0.000 0.000 0.000

The total magnetization is 0.0 μB per cell. For the energy of formation, the calculation gives 115 meV/atom. For the relative energy among the computed polymorphs, the calculation gives 0.094 eV/atom.

A plane-wave DFT calculation with PBE-GGA was carried out for crystalline TbHo7Tm3 at its relaxed geometry.

abc: 5.466 9.780 8.794
angles: 105.57 128.44 89.99
Atoms (fractional coordinates):
Tb 0.500 0.500 0.500
Ho 0.921 0.831 0.921
Ho 0.853 0.709 0.353
Ho 0.677 0.358 0.177
Ho 0.323 0.642 0.823
Ho 0.500 0.000 0.500
Ho 0.147 0.291 0.647
Ho 0.079 0.169 0.079
Tm 0.278 0.998 0.778
Tm 0.000 0.500 0.000
Tm 0.722 0.002 0.222

The total magnetization is 0.0 μB per cell. For the energy of formation, the calculation gives 150 meV/atom. For the relative energy among the computed polymorphs, the calculation gives 0.000 eV/atom.

A plane-wave DFT calculation with PBE-GGA was carried out for crystalline Tb7Ho2Tm2 at its relaxed geometry.

abc: 5.990 11.179 7.961
angles: 45.40 105.79 112.81
Atoms (fractional coordinates):
Tb 0.825 0.590 0.467
Tb 0.175 0.943 0.467
Tb 0.175 0.410 0.533
Tb 0.825 0.057 0.533
Tb 0.000 0.000 0.000
Tb 0.409 0.768 0.000
Tb 0.591 0.232 0.000
Ho 0.500 0.783 0.435
Ho 0.500 0.217 0.565
Tm 0.199 0.415 0.000
Tm 0.801 0.585 0.000

The total magnetization is 0.0 μB per cell. For the energy of formation, the calculation gives 162 meV/atom. For the relative energy among the computed polymorphs, the calculation gives 0.000 eV/atom.

A plane-wave DFT calculation with PBE-GGA was carried out for crystalline Tb2Ho3Tm2 at its relaxed geometry.

abc: 4.972 6.086 7.861
angles: 97.43 90.00 114.11
Atoms (fractional coordinates):
Tb 0.786 0.572 0.857
Tb 0.214 0.428 0.143
Ho 0.500 0.000 0.000
Ho 0.643 0.285 0.428
Ho 0.357 0.715 0.572
Tm 0.928 0.857 0.287
Tm 0.072 0.143 0.713

The total magnetization is 0.0 μB per cell. For the energy of formation, the calculation gives 21 meV/atom.

A plane-wave DFT calculation with PBE-GGA was carried out for crystalline Tb8HoTm6 at its relaxed geometry.

abc: 8.939 8.939 8.553
angles: 58.49 58.49 60.00
Atoms (fractional coordinates):
Tb 0.254 0.281 0.576
Tb 0.719 0.111 0.424
Tb 0.111 0.746 0.424
Tb 0.577 0.577 0.269
Tb 0.423 0.423 0.731
Tb 0.889 0.254 0.576
Tb 0.281 0.889 0.576
Tb 0.746 0.719 0.424
Ho 0.000 0.000 0.000
Tm 0.460 0.896 0.881
Tm 0.104 0.238 0.119
Tm 0.238 0.540 0.119
Tm 0.762 0.460 0.881
Tm 0.896 0.762 0.881
Tm 0.540 0.104 0.119

The total magnetization is 0.0 μB per cell. For the energy of formation, the calculation gives 133 meV/atom. For the relative energy among the computed polymorphs, the calculation gives 0.000 eV/atom.

A plane-wave DFT calculation with PBE-GGA was carried out for crystalline Tb7HoTm4 at its relaxed geometry.

abc: 3.528 3.528 34.463
angles: 90.00 90.00 120.00
Atoms (fractional coordinates):
Tb 0.000 0.000 0.000
Tb 0.667 0.333 0.584
Tb 0.333 0.667 0.416
Tb 0.667 0.333 0.834
Tb 0.333 0.667 0.166
Tb 0.000 0.000 0.250
Tb 0.000 0.000 0.750
Ho 0.000 0.000 0.500
Tm 0.667 0.333 0.083
Tm 0.333 0.667 0.917
Tm 0.667 0.333 0.333
Tm 0.333 0.667 0.667

The total magnetization is 0.0 μB per cell. For the energy of formation, the calculation gives 20 meV/atom. For the relative energy among the computed polymorphs, the calculation gives 0.022 eV/atom.

A plane-wave DFT calculation with PBE-GGA was carried out for crystalline Tb3Ho4Tm2 at its relaxed geometry.

abc: 6.228 9.635 9.635
angles: 83.86 86.33 86.33
Atoms (fractional coordinates):
Tb 0.916 0.878 0.306
Tb 0.584 0.694 0.122
Tb 0.084 0.122 0.694
Tb 0.416 0.306 0.878
Tb 0.250 0.542 0.458
Tb 0.750 0.458 0.542
Ho 0.431 0.033 0.161
Ho 0.069 0.839 0.967
Ho 0.569 0.967 0.839
Ho 0.931 0.161 0.033
Ho 0.105 0.219 0.355
Ho 0.395 0.645 0.781
Ho 0.895 0.781 0.645
Ho 0.605 0.355 0.219
Tm 0.625 0.130 0.510
Tm 0.875 0.490 0.870
Tm 0.375 0.870 0.490
Tm 0.125 0.510 0.130

The total magnetization is 0.0 μB per cell. For the energy of formation, the calculation gives 159 meV/atom. For the relative energy among the computed polymorphs, the calculation gives 0.140 eV/atom.

A plane-wave DFT calculation with PBE-GGA was carried out for crystalline Tb3Ho5Tm at its relaxed geometry.

abc: 9.416 9.416 11.481
angles: 52.78 52.78 73.83
Atoms (fractional coordinates):
Tb 0.696 0.696 0.814
Tb 0.659 0.659 0.362
Tb 0.000 0.000 0.000
Tb 0.000 0.000 0.500
Tb 0.304 0.304 0.186
Tb 0.341 0.341 0.638
Ho 0.846 0.343 0.252
Ho 0.258 0.742 0.000
Ho 0.815 0.815 0.963
Ho 0.490 0.490 0.231
Ho 0.510 0.510 0.769
Ho 0.185 0.185 0.037
Ho 0.343 0.846 0.252
Ho 0.742 0.258 0.000
Ho 0.154 0.657 0.748
Ho 0.657 0.154 0.748
Tm 0.148 0.148 0.602
Tm 0.852 0.852 0.398

The total magnetization is 0.0 μB per cell. For the energy of formation, the calculation gives 534 meV/atom. For the relative energy among the computed polymorphs, the calculation gives 0.234 eV/atom.

A plane-wave DFT calculation with PBE-GGA was carried out for crystalline Tb6HoTm4 at its relaxed geometry.

abc: 6.507 6.507 9.645
angles: 109.71 109.71 90.00
Atoms (fractional coordinates):
Tb 0.862 0.487 0.349
Tb 0.487 0.862 0.349
Tb 0.513 0.513 0.651
Tb 0.000 0.500 0.000
Tb 0.138 0.138 0.651
Tb 0.500 0.000 0.000
Ho 0.500 0.500 0.000
Tm 0.049 0.690 0.739
Tm 0.951 0.951 0.261
Tm 0.690 0.049 0.739
Tm 0.310 0.310 0.261

The total magnetization is 0.0 μB per cell. For the energy of formation, the calculation gives 311 meV/atom. For the relative energy among the computed polymorphs, the calculation gives 0.186 eV/atom.

A plane-wave DFT calculation with PBE-GGA was carried out for crystalline Tb3Ho4Tm4 at its relaxed geometry.

abc: 3.497 11.077 10.739
angles: 121.05 99.37 90.00
Atoms (fractional coordinates):
Tb 0.891 0.891 0.781
Tb 0.109 0.109 0.219
Tb 0.000 0.500 0.000
Ho 0.781 0.281 0.563
Ho 0.219 0.719 0.437
Ho 0.500 0.793 0.000
Ho 0.500 0.207 0.000
Tm 0.671 0.428 0.342
Tm 0.329 0.086 0.658
Tm 0.329 0.572 0.658
Tm 0.671 0.914 0.342

The total magnetization is 0.0 μB per cell. For the energy of formation, the calculation gives 180 meV/atom. For the relative energy among the computed polymorphs, the calculation gives 0.117 eV/atom.

A plane-wave DFT calculation with PBE-GGA was carried out for crystalline Tb12Ho3Tm at its relaxed geometry.

abc: 5.010 5.010 20.028
angles: 90.00 90.00 90.00
Atoms (fractional coordinates):
Tb 0.500 0.500 0.000
Tb 0.500 0.500 0.250
Tb 0.500 0.500 0.500
Tb 0.500 0.500 0.750
Tb 0.500 0.000 0.125
Tb 0.500 0.000 0.375
Tb 0.500 0.000 0.625
Tb 0.500 0.000 0.875
Tb 0.000 0.500 0.125
Tb 0.000 0.500 0.375
Tb 0.000 0.500 0.625
Tb 0.000 0.500 0.875
Ho 0.000 0.000 0.250
Ho 0.000 0.000 0.500
Ho 0.000 0.000 0.750
Tm 0.000 0.000 0.000

The total magnetization is 0.0 μB per cell. For the energy of formation, the calculation gives 18 meV/atom.

A plane-wave DFT calculation with PBE-GGA was carried out for crystalline TbHo3Tm3 at its relaxed geometry.

abc: 6.090 6.090 14.439
angles: 77.83 77.83 60.00
Atoms (fractional coordinates):
Tb 0.667 0.667 0.000
Tb 0.333 0.333 0.000
Ho 0.199 0.867 0.398
Ho 0.536 0.199 0.398
Ho 0.867 0.536 0.398
Ho 0.133 0.464 0.602
Ho 0.464 0.801 0.602
Ho 0.801 0.133 0.602
Tm 0.933 0.267 0.200
Tm 0.599 0.933 0.200
Tm 0.267 0.599 0.200
Tm 0.733 0.401 0.800
Tm 0.401 0.067 0.800
Tm 0.067 0.733 0.800

The total magnetization is 0.0 μB per cell. For the energy of formation, the calculation gives 145 meV/atom. For the relative energy among the computed polymorphs, the calculation gives 0.141 eV/atom.

A plane-wave DFT calculation with PBE-GGA was carried out for crystalline Tb15HoTm4 at its relaxed geometry.

abc: 5.004 5.004 25.004
angles: 90.00 90.00 90.00
Atoms (fractional coordinates):
Tb 0.500 0.500 0.000
Tb 0.500 0.500 0.200
Tb 0.500 0.500 0.400
Tb 0.500 0.500 0.600
Tb 0.500 0.500 0.800
Tb 0.500 0.000 0.100
Tb 0.500 0.000 0.300
Tb 0.500 0.000 0.500
Tb 0.500 0.000 0.700
Tb 0.500 0.000 0.900
Tb 0.000 0.500 0.100
Tb 0.000 0.500 0.300
Tb 0.000 0.500 0.500
Tb 0.000 0.500 0.700
Tb 0.000 0.500 0.900
Ho 0.000 0.000 0.000
Tm 0.000 0.000 0.200
Tm 0.000 0.000 0.400
Tm 0.000 0.000 0.600
Tm 0.000 0.000 0.800

The total magnetization is 0.0 μB per cell. For the energy of formation, the calculation gives 18 meV/atom.

A plane-wave DFT calculation with PBE-GGA was carried out for crystalline TbHo3Tm4 at its relaxed geometry.

abc: 5.546 3.507 13.221
angles: 90.00 102.10 90.00
Atoms (fractional coordinates):
Tm 0.604 0.500 0.208
Tm 0.396 0.500 0.792
Tm 0.277 0.499 0.554
Tm 0.723 0.501 0.446
Tb 0.500 0.000 0.000
Ho 0.000 0.500 0.000
Ho 0.844 0.000 0.688
Ho 0.156 0.000 0.312

The total magnetization is 0.0 μB per cell. For the energy of formation, the calculation gives 215 meV/atom. For the relative energy among the computed polymorphs, the calculation gives 0.215 eV/atom.

A plane-wave DFT calculation with PBE-GGA was carried out for crystalline Tb2HoTm at its relaxed geometry.

abc: 3.526 3.526 9.970
angles: 90.00 90.00 90.00
Atoms (fractional coordinates):
Tm 0.500 0.500 0.000
Tb 0.000 0.000 0.751
Tb 0.000 0.000 0.249
Ho 0.500 0.500 0.500

The total magnetization is 0.0 μB per cell. For the energy of formation, the calculation gives 21 meV/atom. For the relative energy among the computed polymorphs, the calculation gives 0.016 eV/atom.

A plane-wave DFT calculation with PBE-GGA was carried out for crystalline Tb2Ho7Tm at its relaxed geometry.

abc: 6.098 9.314 6.087
angles: 108.98 99.69 102.60
Atoms (fractional coordinates):
Tb 0.501 0.700 0.600
Tb 0.499 0.300 0.400
Ho 0.000 0.801 0.400
Ho 0.000 0.199 0.600
Ho 0.001 0.600 0.800
Ho 0.999 0.400 0.200
Ho 0.500 0.901 0.200
Ho 0.500 0.099 0.800
Ho 0.500 0.500 0.000
Tm 0.000 0.000 0.000

The total magnetization is 0.0 μB per cell. For the energy of formation, the calculation gives 21 meV/atom. For the relative energy among the computed polymorphs, the calculation gives 0.000 eV/atom.

A plane-wave DFT calculation with PBE-GGA was carried out for crystalline TbHo7Tm3 at its relaxed geometry.

abc: 5.718 8.324 8.324
angles: 83.23 110.14 110.14
Atoms (fractional coordinates):
Tb 0.500 0.500 0.500
Ho 0.208 0.207 0.207
Ho 0.300 0.001 0.600
Ho 0.700 0.400 0.999
Ho 0.300 0.600 0.001
Ho 0.000 0.500 0.500
Ho 0.700 0.999 0.400
Ho 0.792 0.793 0.793
Tm 0.000 0.794 0.206
Tm 0.500 0.000 0.000
Tm 0.000 0.206 0.794

The total magnetization is 0.3 μB per cell. For the energy of formation, the calculation gives 275 meV/atom. For the relative energy among the computed polymorphs, the calculation gives 0.125 eV/atom.

A plane-wave DFT calculation with PBE-GGA was carried out for crystalline Tb3Ho2Tm4 at its relaxed geometry.

abc: 5.598 6.310 12.785
angles: 130.13 90.00 116.33
Atoms (fractional coordinates):
Tb 0.578 0.155 0.687
Tb 0.000 0.000 0.000
Tb 0.422 0.845 0.313
Ho 0.712 0.423 0.283
Ho 0.288 0.577 0.717
Tm 0.721 0.442 0.040
Tm 0.279 0.558 0.960
Tm 0.862 0.723 0.628
Tm 0.138 0.277 0.372

The total magnetization is 0.0 μB per cell. For the energy of formation, the calculation gives 117 meV/atom. For the relative energy among the computed polymorphs, the calculation gives 0.011 eV/atom.